LaYPb (PBE, optimized geometry); space-group type = Imm2, No. 44
1.0
-1.894 2.209 5.715
1.894 -2.209 5.715
1.894 2.209 -5.715
La Y Pb
1 1 1
Cartesian
0.000 0.000 0.000 La
0.000 0.000 3.492 Y
0.000 0.000 7.648 Pb



LaY3Pb (PBE, optimized geometry); space-group type = Pm-3m, No. 221
1.0
5.609 0.000 0.000
0.000 5.609 0.000
0.000 0.000 5.609
La Y Pb
1 3 1
Cartesian
0.000 0.000 0.000 La
0.000 0.000 2.805 Y
0.000 2.805 0.000 Y
2.805 0.000 0.000 Y
2.805 2.805 2.805 Pb



LaYPb2 (PBE, optimized geometry); space-group type = R-3m, No. 166
1.0
2.117 1.222 8.602
-2.117 1.222 8.602
0.000 -2.445 8.602
La Y Pb
1 1 2
Cartesian
0.000 0.000 0.000 La
0.000 0.000 12.903 Y
0.000 0.000 6.352 Pb
0.000 0.000 19.454 Pb



LaY2Pb (PBE, optimized geometry); space-group type = P4/mmm, No. 123
1.0
5.006 0.000 0.000
0.000 5.006 0.000
0.000 0.000 4.850
La Y Pb
1 2 1
Cartesian
0.000 0.000 0.000 La
0.000 2.503 2.425 Y
2.503 0.000 2.425 Y
2.503 2.503 0.000 Pb



La3YPb3 (PBE, optimized geometry); space-group type = C2/m, No. 12
1.0
4.419 -6.805 0.000
4.419 6.805 0.000
-0.402 0.000 8.432
La Y Pb
6 2 6
Cartesian
4.419 4.598 0.000 La
4.218 3.704 4.216 La
3.325 0.000 1.157 La
5.112 0.000 7.275 La
4.218 -3.704 4.216 La
4.419 -4.598 0.000 La
2.140 0.000 4.916 Y
6.296 0.000 3.517 Y
0.391 0.000 2.408 Pb
2.515 2.360 6.734 Pb
2.515 -2.360 6.734 Pb
5.921 2.360 1.699 Pb
5.921 -2.360 1.699 Pb
8.046 0.000 6.024 Pb



LaY2Pb (PBE, optimized geometry); space-group type = P4mm, No. 99
1.0
3.637 0.000 0.000
0.000 3.637 0.000
0.000 0.000 9.824
La Y Pb
1 2 1
Cartesian
0.000 0.000 0.000 La
0.000 0.000 4.540 Y
1.818 1.818 7.018 Y
1.818 1.818 2.355 Pb



La4YPb5 (PBE, optimized geometry); space-group type = P4/mmm, No. 123
1.0
3.664 0.000 0.000
0.000 3.664 0.000
0.000 0.000 23.062
La Y Pb
4 1 5
Cartesian
0.000 0.000 2.351 La
0.000 0.000 7.008 La
0.000 0.000 16.054 La
0.000 0.000 20.711 La
0.000 0.000 11.531 Y
1.832 1.832 0.000 Pb
1.832 1.832 4.681 Pb
1.832 1.832 9.373 Pb
1.832 1.832 13.689 Pb
1.832 1.832 18.381 Pb



LaYPb2 (PBE, optimized geometry); space-group type = F-43m, No. 216
1.0
0.000 3.959 3.959
3.959 0.000 3.959
3.959 3.959 0.000
La Y Pb
1 1 2
Cartesian
0.000 0.000 0.000 La
5.938 5.938 5.938 Y
1.979 1.979 1.979 Pb
3.959 3.959 3.959 Pb



La2YPb9 (PBE, optimized geometry); space-group type = P4/mmm, No. 123
1.0
4.949 0.000 0.000
0.000 4.949 0.000
0.000 0.000 14.745
La Y Pb
2 1 9
Cartesian
0.000 0.000 2.471 La
0.000 0.000 12.274 La
0.000 0.000 7.372 Y
0.000 2.475 0.000 Pb
0.000 2.475 4.985 Pb
0.000 2.475 9.760 Pb
2.475 0.000 0.000 Pb
2.475 0.000 4.985 Pb
2.475 0.000 9.760 Pb
2.475 2.475 2.491 Pb
2.475 2.475 7.372 Pb
2.475 2.475 12.254 Pb



La2YPb2 (PBE, optimized geometry); space-group type = P4/mbm, No. 127
1.0
8.360 0.000 0.000
0.000 8.360 0.000
0.000 0.000 4.739
La Y Pb
4 2 4
Cartesian
1.416 2.764 0.000 La
2.764 6.945 0.000 La
5.596 1.416 0.000 La
6.945 5.596 0.000 La
0.000 0.000 2.370 Y
4.180 4.180 2.370 Y
1.131 5.311 2.370 Pb
3.049 1.131 2.370 Pb
5.311 7.229 2.370 Pb
7.229 3.049 2.370 Pb



LaY2Pb (PBE, optimized geometry); space-group type = I-42d, No. 122
1.0
-4.506 4.506 3.375
4.506 -4.506 3.375
4.506 4.506 -3.375
La Y Pb
2 4 2
Cartesian
0.000 0.000 0.000 La
0.000 4.506 1.688 La
2.253 2.586 -0.844 Y
6.427 2.253 0.844 Y
2.253 1.920 2.532 Y
-1.920 2.253 4.219 Y
4.506 0.000 1.688 Pb
0.000 0.000 3.375 Pb



LaYPb6 (PBE, optimized geometry); space-group type = P4/mmm, No. 123
1.0
4.940 0.000 0.000
0.000 4.940 0.000
0.000 0.000 9.789
La Y Pb
1 1 6
Cartesian
0.000 0.000 0.000 La
0.000 0.000 4.894 Y
0.000 2.470 2.502 Pb
0.000 2.470 7.287 Pb
2.470 0.000 2.502 Pb
2.470 0.000 7.287 Pb
2.470 2.470 0.000 Pb
2.470 2.470 4.894 Pb



LaYPb2 (PBE, optimized geometry); space-group type = P4/mmm, No. 123
1.0
3.624 0.000 0.000
0.000 3.624 0.000
0.000 0.000 9.109
La Y Pb
1 1 2
Cartesian
0.000 0.000 0.000 La
0.000 0.000 4.555 Y
1.812 1.812 2.379 Pb
1.812 1.812 6.730 Pb



La6Y8Pb (PBE, optimized geometry); space-group type = R-3, No. 148
1.0
4.501 2.599 7.180
-4.501 2.599 7.180
0.000 -5.198 7.180
La Y Pb
6 8 1
Cartesian
-2.384 -2.372 9.813 La
-3.246 0.878 11.726 La
0.863 -3.250 11.726 La
-0.863 3.250 9.813 La
3.246 -0.878 9.813 La
2.384 2.372 11.726 La
0.000 0.000 1.705 Y
-2.014 0.473 7.888 Y
0.598 -1.980 7.888 Y
-1.416 -1.508 13.651 Y
1.416 1.508 7.888 Y
-0.598 1.980 13.651 Y
2.014 -0.473 13.651 Y
0.000 0.000 19.834 Y
0.000 0.000 10.770 Pb



LaYPb (PBE, optimized geometry); space-group type = P4/nmm, No. 129
1.0
4.743 0.000 0.000
0.000 4.743 0.000
0.000 0.000 8.816
La Y Pb
2 2 2
Cartesian
1.186 1.186 1.315 La
3.557 3.557 7.502 La
1.186 3.557 4.408 Y
3.557 1.186 4.408 Y
1.186 1.186 6.720 Pb
3.557 3.557 2.097 Pb



La2YPb2 (PBE, optimized geometry); space-group type = Cmcm, No. 63
1.0
2.615 -9.512 0.000
2.615 9.512 0.000
0.000 0.000 6.734
La Y Pb
4 2 4
Cartesian
0.000 0.000 0.000 La
0.000 0.000 3.367 La
2.615 5.807 5.051 La
2.615 -5.807 1.684 La
2.615 1.939 5.051 Y
2.615 -1.939 1.684 Y
2.615 5.983 1.684 Pb
2.615 1.459 1.684 Pb
2.615 -1.459 5.051 Pb
2.615 -5.983 5.051 Pb



La2YPb2 (PBE, optimized geometry); space-group type = P4/mbm, No. 127
1.0
9.346 0.000 0.000
0.000 9.346 0.000
0.000 0.000 3.752
La Y Pb
4 2 4
Cartesian
1.110 3.563 0.000 La
3.563 8.236 0.000 La
5.783 1.110 0.000 La
8.236 5.783 0.000 La
0.000 0.000 0.000 Y
4.673 4.673 0.000 Y
1.688 6.362 1.876 Pb
2.985 1.688 1.876 Pb
6.362 7.658 1.876 Pb
7.658 2.985 1.876 Pb



LaYPb (PBE, optimized geometry); space-group type = P3m1, No. 156
1.0
3.685 0.000 0.000
-1.843 3.191 0.000
0.000 0.000 8.414
La Y Pb
1 1 1
Cartesian
0.000 0.000 0.000 La
0.000 2.128 5.419 Y
1.843 1.064 2.811 Pb



LaY2Pb (PBE, optimized geometry); space-group type = C2/m, No. 12
1.0
6.044 -1.823 0.000
6.044 1.823 0.000
-1.618 0.000 5.774
La Y Pb
1 2 1
Cartesian
0.000 0.000 0.000 La
1.573 0.000 4.261 Y
8.896 0.000 1.513 Y
5.235 0.000 2.887 Pb



La2Y2Pb (PBE, optimized geometry); space-group type = P4/mbm, No. 127
1.0
8.327 0.000 0.000
0.000 8.327 0.000
0.000 0.000 4.900
La Y Pb
4 4 2
Cartesian
1.112 3.051 0.000 La
3.051 7.215 0.000 La
5.276 1.112 0.000 La
7.215 5.276 0.000 La
1.366 5.530 2.450 Y
2.797 1.366 2.450 Y
5.530 6.961 2.450 Y
6.961 2.797 2.450 Y
0.000 0.000 0.000 Pb
4.164 4.164 0.000 Pb



Formation enthalpy at 0 K? In order: -0.98, 3.57, -1.63, -1.22, -2.58, -0.86, -5.61, -0.31, -4.76, -2.88, 0.08, -2.97, -2.09, -0.06, -1.43, -2.64, -1.45, -0.59, -0.97, 0.03 eV per formula unit.